# MoSeO5

A relaxed structure of MoSeO5 (PBE+U, Alexandria via LeMat-Bulk).

extended XYZ file:
```
14
Lattice="5.2498 0.4670 -1.6343 -1.0436 5.1071 -1.8059 -0.3108 -0.4668 7.6748" Properties=species:S:1:pos:R:3 pbc="T T T"
O 0.9522 1.8280 -0.6146
O 4.7063 1.3687 -0.0113
O 0.9725 1.5407 4.0079
O 3.2664 1.6192 2.5356
O 0.7637 4.5367 -0.8610
O 2.9312 3.2921 4.8373
O -0.8228 3.7514 4.2342
O 2.9111 3.5790 0.2153
O 3.1198 0.5835 5.0845
O 0.6177 3.5002 1.6878
Se 2.6177 1.8188 4.0790
Se 1.2658 3.3011 0.1441
Mo 4.9330 0.0067 6.0347
Mo 4.5667 2.7934 1.2944
```

Summary:
**Uncorrected energy**: -6.07 eV/atom